[1]
VASP calculation (PBE-GGA) on an optimized crystal structure of Sm3InGe2.

Summary:
size of the total moment = 0.00 Bohr magnetons per cell
crystal system = trigonal
energy = -4.916 eV/atom
volume = 28.73 Å³/atom

a = 7.9168 Å, b = 7.9168 Å, c = 19.0541 Å
α = 90.00°, β = 90.00°, γ = 120.00°
Space group R-3c (No. 167, hexagonal axes)
Asymmetric unit:
Sm1 0.0000 0.2995 0.2500 [18 per cell]
In1 0.0000 0.0000 0.0000 [6 per cell]
Ge1 0.0000 0.0000 0.1526 [12 per cell]


[2]
VASP calculation (PBE-GGA) on an optimized crystal structure of Sm3InGe.

Summary:
size of the total moment = 0.03 Bohr magnetons per cell
crystal system = orthorhombic
energy = -4.820 eV/atom
volume = 28.02 Å³/atom

a = 6.953 Å, b = 9.694 Å, c = 16.627 Å
α = 90.00°, β = 90.00°, γ = 90.00°
Space group Fmmm (No. 69)
Asymmetric unit:
Sm1 0.000 0.000 0.191 [8 per cell]
Sm2 0.000 0.190 0.396 [16 per cell]
In1 0.202 0.000 0.000 [8 per cell]
Ge1 0.250 0.250 0.250 [8 per cell]


[3]
VASP calculation (PBE-GGA) on an optimized crystal structure of Sm4InGe.

Summary:
size of the total moment = 0.00 Bohr magnetons per cell
crystal system = monoclinic
energy = -4.833 eV/atom
volume = 29.14 Å³/atom

a = 5.904 Å, b = 6.851 Å, c = 8.751 Å
α = 90.00°, β = 99.01°, γ = 90.00°
Space group P2_1/m (No. 11)
Asymmetric unit:
Sm1 0.153 0.250 0.049 [2 per cell]
Sm2 0.173 0.750 0.363 [2 per cell]
Sm3 0.345 0.511 0.742 [4 per cell]
In1 0.232 0.250 0.418 [2 per cell]
Ge1 0.344 0.750 0.041 [2 per cell]


[4]
VASP calculation (PBE-GGA) on an optimized crystal structure of SmInGe2.

Summary:
size of the total moment = 0.00 Bohr magnetons per cell
crystal system = tetragonal
energy = -4.601 eV/atom
volume = 22.46 Å³/atom

a = 4.647 Å, b = 4.647 Å, c = 4.162 Å
α = 90.00°, β = 90.00°, γ = 90.00°
Space group P4/mmm (No. 123)
Asymmetric unit:
Sm1 0.000 0.000 0.000 [1 per cell]
In1 0.500 0.500 0.000 [1 per cell]
Ge1 0.000 0.500 0.500 [2 per cell]


[5]
VASP calculation (PBE-GGA) on an optimized crystal structure of Sm4InGe.

Summary:
size of the total moment = 0.00 Bohr magnetons per cell
crystal system = orthorhombic
energy = -4.568 eV/atom
volume = 32.14 Å³/atom

a = 5.285 Å, b = 22.584 Å, c = 6.463 Å
α = 90.00°, β = 90.00°, γ = 90.00°
Space group Cmcm (No. 63)
Asymmetric unit:
Sm1 0.000 0.069 0.250 [4 per cell]
Sm2 0.000 0.206 0.007 [8 per cell]
Sm3 0.000 0.367 0.250 [4 per cell]
In1 0.000 0.068 0.750 [4 per cell]
Ge1 0.000 0.337 0.750 [4 per cell]


[6]
VASP calculation (PBE-GGA) on an optimized crystal structure of Sm2InGe.

Summary:
size of the total moment = 0.00 Bohr magnetons per cell
crystal system = trigonal
energy = -4.698 eV/atom
volume = 29.94 Å³/atom

a = 4.2402 Å, b = 4.2402 Å, c = 23.0717 Å
α = 90.00°, β = 90.00°, γ = 120.00°
Space group R-3m (No. 166, hexagonal axes)
Asymmetric unit:
Sm1 0.0000 0.0000 0.2363 [6 per cell]
In1 0.0000 0.0000 0.0000 [3 per cell]
Ge1 0.0000 0.0000 0.5000 [3 per cell]


[7]
VASP calculation (PBE-GGA) on an optimized crystal structure of SmIn2GeTe4.

Summary:
size of the total moment = 0.00 Bohr magnetons per cell
crystal system = monoclinic
volume = 32.08 Å³/atom
uncorrected formation energy = -0.54 eV/atom

a = 7.733 Å, b = 4.412 Å, c = 7.941 Å
α = 90.00°, β = 108.69°, γ = 90.00°
Space group P2/m (No. 10)
Asymmetric unit:
Sm1 0.000 0.000 0.000 [1 per cell]
In1 0.000 0.500 0.500 [1 per cell]
In2 0.500 0.000 0.500 [1 per cell]
Ge1 0.500 0.500 0.000 [1 per cell]
Te1 0.251 0.500 0.233 [2 per cell]
Te2 0.262 0.000 0.771 [2 per cell]


[8]
VASP calculation (PBE-GGA) on an optimized crystal structure of In2SnGe2.

Summary:
size of the total moment = 0.00 Bohr magnetons per cell
crystal system = tetragonal
energy = -3.570 eV/atom
volume = 24.19 Å³/atom

a = 8.354 Å, b = 8.354 Å, c = 3.466 Å
α = 90.00°, β = 90.00°, γ = 90.00°
Space group P4/mbm (No. 127)
Asymmetric unit:
In1 0.143 0.357 0.000 [4 per cell]
Sn1 0.000 0.000 0.500 [2 per cell]
Ge1 0.156 0.656 0.500 [4 per cell]


[9]
VASP calculation (PBE-GGA) on an optimized crystal structure of In2Sn2Ge.

Summary:
size of the total moment = 0.00 Bohr magnetons per cell
crystal system = tetragonal
energy = -3.360 eV/atom
volume = 27.77 Å³/atom

a = 4.138 Å, b = 4.138 Å, c = 16.215 Å
α = 90.00°, β = 90.00°, γ = 90.00°
Space group I4/mmm (No. 139)
Asymmetric unit:
In1 0.000 0.500 0.250 [4 per cell]
Sn1 0.000 0.000 0.091 [4 per cell]
Ge1 0.000 0.000 0.500 [2 per cell]


[10]
VASP calculation (PBE-GGA) on an optimized crystal structure of In2Sn2Ge.

Summary:
size of the total moment = 0.00 Bohr magnetons per cell
crystal system = tetragonal
energy = -3.371 eV/atom
volume = 26.90 Å³/atom

a = 8.466 Å, b = 8.466 Å, c = 3.753 Å
α = 90.00°, β = 90.00°, γ = 90.00°
Space group P4/mbm (No. 127)
Asymmetric unit:
In1 0.151 0.349 0.000 [4 per cell]
Sn1 0.149 0.649 0.500 [4 per cell]
Ge1 0.000 0.000 0.000 [2 per cell]


[11]
VASP calculation (PBE-GGA) on an optimized crystal structure of In2Sn2Ge.

Summary:
size of the total moment = 0.00 Bohr magnetons per cell
crystal system = tetragonal
energy = -3.456 eV/atom
volume = 27.91 Å³/atom

a = 7.575 Å, b = 7.575 Å, c = 4.865 Å
α = 90.00°, β = 90.00°, γ = 90.00°
Space group P4/mbm (No. 127)
Asymmetric unit:
In1 0.168 0.332 0.000 [4 per cell]
Sn1 0.143 0.643 0.500 [4 per cell]
Ge1 0.000 0.000 0.500 [2 per cell]


[12]
VASP calculation (PBE-GGA) on an optimized crystal structure of In3Sn12Ge5.

Summary:
size of the total moment = 0.00 Bohr magnetons per cell
crystal system = cubic
energy = -3.758 eV/atom
volume = 30.31 Å³/atom

a = 16.927 Å, b = 16.927 Å, c = 16.927 Å
α = 90.00°, β = 90.00°, γ = 90.00°
Space group Ia-3d (No. 230)
Asymmetric unit:
In1 0.000 0.250 0.125 [24 per cell]
Sn1 0.022 0.075 0.652 [96 per cell]
Ge1 0.000 0.000 0.000 [16 per cell]
Ge2 0.000 0.250 0.375 [24 per cell]


[13]
VASP calculation (PBE-GGA) on an optimized crystal structure of In2SnGe2.

Summary:
size of the total moment = 0.00 Bohr magnetons per cell
crystal system = tetragonal
energy = -3.575 eV/atom
volume = 25.21 Å³/atom

a = 3.802 Å, b = 3.802 Å, c = 17.435 Å
α = 90.00°, β = 90.00°, γ = 90.00°
Space group I4/mmm (No. 139)
Asymmetric unit:
In1 0.000 0.000 0.108 [4 per cell]
Sn1 0.000 0.000 0.500 [2 per cell]
Ge1 0.000 0.500 0.250 [4 per cell]


[14]
VASP calculation (PBE-GGA) on an optimized crystal structure of In2SnGe2.

Summary:
size of the total moment = 0.00 Bohr magnetons per cell
crystal system = tetragonal
energy = -3.522 eV/atom
volume = 25.57 Å³/atom

a = 4.422 Å, b = 4.422 Å, c = 13.077 Å
α = 90.00°, β = 90.00°, γ = 90.00°
Space group I4/mmm (No. 139)
Asymmetric unit:
In1 0.000 0.500 0.250 [4 per cell]
Sn1 0.000 0.000 0.000 [2 per cell]
Ge1 0.000 0.000 0.402 [4 per cell]


[15]
VASP calculation (PBE-GGA) on an optimized crystal structure of InSnGe3.

Summary:
size of the total moment = 0.00 Bohr magnetons per cell
crystal system = cubic
energy = -3.333 eV/atom
volume = 30.38 Å³/atom

a = 5.336 Å, b = 5.336 Å, c = 5.336 Å
α = 90.00°, β = 90.00°, γ = 90.00°
Space group Pm-3m (No. 221)
Asymmetric unit:
In1 0.000 0.000 0.000 [1 per cell]
Sn1 0.500 0.500 0.500 [1 per cell]
Ge1 0.000 0.500 0.500 [3 per cell]


[16]
VASP calculation (PBE-GGA) on an optimized crystal structure of In2SnGe2.

Summary:
size of the total moment = 0.00 Bohr magnetons per cell
crystal system = tetragonal
energy = -3.551 eV/atom
volume = 24.27 Å³/atom

a = 8.557 Å, b = 8.557 Å, c = 3.314 Å
α = 90.00°, β = 90.00°, γ = 90.00°
Space group P4/mbm (No. 127)
Asymmetric unit:
In1 0.143 0.357 0.000 [4 per cell]
Sn1 0.000 0.000 0.000 [2 per cell]
Ge1 0.153 0.653 0.500 [4 per cell]


[17]
VASP calculation (PBE-GGA) on an optimized crystal structure of In2Sn2Ge.

Summary:
size of the total moment = 0.00 Bohr magnetons per cell
crystal system = tetragonal
energy = -3.346 eV/atom
volume = 28.29 Å³/atom

a = 4.147 Å, b = 4.147 Å, c = 16.449 Å
α = 90.00°, β = 90.00°, γ = 90.00°
Space group I4/mmm (No. 139)
Asymmetric unit:
In1 0.000 0.000 0.091 [4 per cell]
Sn1 0.000 0.500 0.250 [4 per cell]
Ge1 0.000 0.000 0.500 [2 per cell]


[18]
VASP calculation (PBE-GGA) on an optimized crystal structure of Sr3In6Sn2Ge.

Summary:
size of the total moment = 0.00 Bohr magnetons per cell
crystal system = trigonal
energy = -3.046 eV/atom
volume = 30.63 Å³/atom

a = 6.1366 Å, b = 6.1366 Å, c = 11.2695 Å
α = 90.00°, β = 90.00°, γ = 120.00°
Space group P-3m1 (No. 164)
Asymmetric unit:
Sr1 0.0000 0.0000 0.0000 [1 per cell]
Sr2 0.3333 0.6667 0.5637 [2 per cell]
In1 0.1677 0.3354 0.2743 [6 per cell]
Sn1 0.3333 0.6667 0.0380 [2 per cell]
Ge1 0.0000 0.0000 0.5000 [1 per cell]


[19]
VASP calculation (PBE-GGA) on an optimized crystal structure of Sr3In6SnGe2.

Summary:
size of the total moment = 0.00 Bohr magnetons per cell
crystal system = trigonal
energy = -3.041 eV/atom
volume = 30.86 Å³/atom

a = 6.1139 Å, b = 6.1139 Å, c = 11.4409 Å
α = 90.00°, β = 90.00°, γ = 120.00°
Space group P-3m1 (No. 164)
Asymmetric unit:
Sr1 0.0000 0.0000 0.0000 [1 per cell]
Sr2 0.3333 0.6667 0.5653 [2 per cell]
In1 0.1680 0.3360 0.2660 [6 per cell]
Sn1 0.0000 0.0000 0.5000 [1 per cell]
Ge1 0.3333 0.6667 0.0623 [2 per cell]


[20]
VASP calculation (PBE-GGA) on an optimized crystal structure of SrInSnGe2.

Summary:
size of the total moment = 0.00 Bohr magnetons per cell
crystal system = tetragonal
energy = -3.075 eV/atom
volume = 33.49 Å³/atom

a = 5.220 Å, b = 5.220 Å, c = 6.145 Å
α = 90.00°, β = 90.00°, γ = 90.00°
Space group P4/mmm (No. 123)
Asymmetric unit:
Sr1 0.000 0.000 0.000 [1 per cell]
In1 0.000 0.000 0.500 [1 per cell]
Sn1 0.500 0.500 0.000 [1 per cell]
Ge1 0.000 0.500 0.500 [2 per cell]